1.
# BaMn3P | the Alexandria database | GGA-PBE | optimized geometry
data_BaMn3P
_cell_length_a 5.0868
_cell_length_b 5.0868
_cell_length_c 5.0868
_cell_angle_alpha 90.00
_cell_angle_beta 90.00
_cell_angle_gamma 90.00
_symmetry_space_group_name_H-M 'P m -3 m'
_symmetry_Int_Tables_number 221
_symmetry_space_group_name_Hall '-P 4 2 3'
loop_
_atom_site_label
_atom_site_fract_x
_atom_site_fract_y
_atom_site_fract_z
_atom_site_occupancy
Ba1 0.0000 0.0000 0.0000 1
Mn1 0.0000 0.0000 0.5000 1
P1 0.5000 0.5000 0.5000 1
# N(E_F) = 0.796 states/eV per atom

2.
# BaMn3P | the Alexandria database | GGA-PBE | optimized geometry
data_BaMn3P
_cell_length_a 4.6930
_cell_length_b 4.6930
_cell_length_c 4.6930
_cell_angle_alpha 90.00
_cell_angle_beta 90.00
_cell_angle_gamma 90.00
_symmetry_space_group_name_H-M 'P m -3 m'
_symmetry_Int_Tables_number 221
_symmetry_space_group_name_Hall '-P 4 2 3'
loop_
_atom_site_label
_atom_site_fract_x
_atom_site_fract_y
_atom_site_fract_z
_atom_site_occupancy
Ba1 0.0000 0.0000 0.0000 1
Mn1 0.0000 0.5000 0.5000 1
P1 0.5000 0.5000 0.5000 1
# N(E_F) = 0.458 states/eV per atom

Energies, relative to the best one, in meV per atom: 1 1996; 2 0.

1.
# BaMnP3 | the Alexandria database | GGA-PBE | optimized geometry
data_BaMnP3
_cell_length_a 5.6442
_cell_length_b 5.6442
_cell_length_c 5.6442
_cell_angle_alpha 90.00
_cell_angle_beta 90.00
_cell_angle_gamma 90.00
_symmetry_space_group_name_H-M 'P m -3 m'
_symmetry_Int_Tables_number 221
_symmetry_space_group_name_Hall '-P 4 2 3'
loop_
_atom_site_label
_atom_site_fract_x
_atom_site_fract_y
_atom_site_fract_z
_atom_site_occupancy
Ba1 0.0000 0.0000 0.0000 1
Mn1 0.5000 0.5000 0.5000 1
P1 0.0000 0.0000 0.5000 1
# N(E_F) = 0.778 states/eV per atom

2.
# BaMnP3 | the Alexandria database | GGA-PBE | optimized geometry
data_BaMnP3
_cell_length_a 4.6364
_cell_length_b 4.6364
_cell_length_c 4.6364
_cell_angle_alpha 90.00
_cell_angle_beta 90.00
_cell_angle_gamma 90.00
_symmetry_space_group_name_H-M 'P m -3 m'
_symmetry_Int_Tables_number 221
_symmetry_space_group_name_Hall '-P 4 2 3'
loop_
_atom_site_label
_atom_site_fract_x
_atom_site_fract_y
_atom_site_fract_z
_atom_site_occupancy
Ba1 0.0000 0.0000 0.0000 1
Mn1 0.5000 0.5000 0.5000 1
P1 0.0000 0.5000 0.5000 1
# N(E_F) = 1.461 states/eV per atom

Energies, relative to the best one, in meV per atom: 1 1806; 2 0.

1.
# BaMnP2S | the Alexandria database | GGA-PBE | optimized geometry
data_BaMnP2S
_cell_length_a 4.3772
_cell_length_b 4.3772
_cell_length_c 5.5573
_cell_angle_alpha 90.00
_cell_angle_beta 90.00
_cell_angle_gamma 90.00
_symmetry_space_group_name_H-M 'P 4/m m m'
_symmetry_Int_Tables_number 123
_symmetry_space_group_name_Hall '-P 4 2'
loop_
_atom_site_label
_atom_site_fract_x
_atom_site_fract_y
_atom_site_fract_z
_atom_site_occupancy
Ba1 0.0000 0.0000 0.0000 1
Mn1 0.5000 0.5000 0.5000 1
P1 0.0000 0.5000 0.5000 1
S1 0.5000 0.5000 0.0000 1
# N(E_F) = 0.820 states/eV per atom

2.
# BaMnP2S | the Alexandria database | GGA-PBE | optimized geometry
data_BaMnP2S
_cell_length_a 5.5784
_cell_length_b 5.5784
_cell_length_c 5.6431
_cell_angle_alpha 90.00
_cell_angle_beta 90.00
_cell_angle_gamma 90.00
_symmetry_space_group_name_H-M 'P 4/m m m'
_symmetry_Int_Tables_number 123
_symmetry_space_group_name_Hall '-P 4 2'
loop_
_atom_site_label
_atom_site_fract_x
_atom_site_fract_y
_atom_site_fract_z
_atom_site_occupancy
Ba1 0.0000 0.0000 0.0000 1
Mn1 0.5000 0.5000 0.5000 1
P1 0.0000 0.5000 0.0000 1
S1 0.0000 0.0000 0.5000 1
# N(E_F) = 0.941 states/eV per atom

Energies, relative to the best one, in meV per atom: 1 0; 2 1839.

1.
# BaMn3Pt | the Alexandria database | GGA-PBE | optimized geometry
data_BaMn3Pt
_cell_length_a 4.9282
_cell_length_b 4.9282
_cell_length_c 4.9282
_cell_angle_alpha 90.00
_cell_angle_beta 90.00
_cell_angle_gamma 90.00
_symmetry_space_group_name_H-M 'P m -3 m'
_symmetry_Int_Tables_number 221
_symmetry_space_group_name_Hall '-P 4 2 3'
loop_
_atom_site_label
_atom_site_fract_x
_atom_site_fract_y
_atom_site_fract_z
_atom_site_occupancy
Ba1 0.0000 0.0000 0.0000 1
Mn1 0.0000 0.0000 0.5000 1
Pt1 0.5000 0.5000 0.5000 1
# N(E_F) = 0.549 states/eV per atom

2.
# BaMn3Pt | the Alexandria database | GGA-PBE | optimized geometry
data_BaMn3Pt
_cell_length_a 5.0423
_cell_length_b 5.0423
_cell_length_c 5.0423
_cell_angle_alpha 90.00
_cell_angle_beta 90.00
_cell_angle_gamma 90.00
_symmetry_space_group_name_H-M 'P m -3 m'
_symmetry_Int_Tables_number 221
_symmetry_space_group_name_Hall '-P 4 2 3'
loop_
_atom_site_label
_atom_site_fract_x
_atom_site_fract_y
_atom_site_fract_z
_atom_site_occupancy
Ba1 0.0000 0.0000 0.0000 1
Mn1 0.0000 0.5000 0.5000 1
Pt1 0.5000 0.5000 0.5000 1
# N(E_F) = 1.051 states/eV per atom

Energies, relative to the best one, in meV per atom: 1 1812; 2 0.

1.
# RbBaMn2 | the Alexandria database | GGA-PBE | optimized geometry
data_RbBaMn2
_cell_length_a 8.3483
_cell_length_b 8.3483
_cell_length_c 8.3483
_cell_angle_alpha 90.00
_cell_angle_beta 90.00
_cell_angle_gamma 90.00
_symmetry_space_group_name_H-M 'F m -3 m'
_symmetry_Int_Tables_number 225
_symmetry_space_group_name_Hall '-F 4 2 3'
loop_
_atom_site_label
_atom_site_fract_x
_atom_site_fract_y
_atom_site_fract_z
_atom_site_occupancy
Rb1 0.0000 0.0000 0.0000 1
Ba1 0.0000 0.0000 0.5000 1
Mn1 0.2500 0.2500 0.2500 1
# N(E_F) = 1.382 states/eV per atom

2.
# RbBaMn2 | the Alexandria database | GGA-PBE | optimized geometry
data_RbBaMn2
_cell_length_a 5.5138
_cell_length_b 5.5138
_cell_length_c 22.6914
_cell_angle_alpha 90.00
_cell_angle_beta 90.00
_cell_angle_gamma 90.00
_symmetry_space_group_name_H-M 'I 41/a m d'
_symmetry_Int_Tables_number 141
loop_
_symmetry_equiv_pos_as_xyz
'x,y,z'
'-x,-y,-z'
'-y+1/4,x+3/4,z+1/4'
'y+1/4,-x+3/4,-z+1/4'
'-x+1/2,-y,z+1/2'
'x+1/2,y,-z+1/2'
'y+1/4,-x+1/4,z+3/4'
'-y+1/4,x+1/4,-z+3/4'
'x,-y,-z'
'-x,y,z'
'-y+1/4,-x+1/4,-z+3/4'
'y+1/4,x+1/4,z+3/4'
'-x+1/2,y,-z+1/2'
'x+1/2,-y,z+1/2'
'y+1/4,x+3/4,-z+1/4'
'-y+1/4,-x+3/4,z+1/4'
'x+1/2,y+1/2,z+1/2'
'-x+1/2,-y+1/2,-z+1/2'
'-y+3/4,x+1/4,z+3/4'
'y+3/4,-x+1/4,-z+3/4'
'-x,-y+1/2,z'
'x,y+1/2,-z'
'y+3/4,-x+3/4,z+1/4'
'-y+3/4,x+3/4,-z+1/4'
'x+1/2,-y+1/2,-z+1/2'
'-x+1/2,y+1/2,z+1/2'
'-y+3/4,-x+3/4,-z+1/4'
'y+3/4,x+3/4,z+1/4'
'-x,y+1/2,-z'
'x,-y+1/2,z'
'y+3/4,x+1/4,-z+3/4'
'-y+3/4,-x+1/4,z+3/4'
loop_
_atom_site_label
_atom_site_fract_x
_atom_site_fract_y
_atom_site_fract_z
_atom_site_occupancy
Rb1 0.0000 0.2500 0.3750 1
Ba1 0.0000 0.2500 0.8750 1
Mn1 0.0000 0.0000 0.0000 1
# N(E_F) = 1.337 states/eV per atom

Energies, relative to the best one, in meV per atom: 1 0; 2 123.

1.
# BaMn2Re | the Alexandria database | GGA-PBE | optimized geometry
data_BaMn2Re
_cell_length_a 3.0639
_cell_length_b 3.0639
_cell_length_c 29.7434
_cell_angle_alpha 90.00
_cell_angle_beta 90.00
_cell_angle_gamma 120.00
_symmetry_space_group_name_H-M 'R -3 m'
_symmetry_Int_Tables_number 166
_symmetry_space_group_name_Hall '-R 3 2"'
loop_
_atom_site_label
_atom_site_fract_x
_atom_site_fract_y
_atom_site_fract_z
_atom_site_occupancy
Ba1 0.0000 0.0000 0.0000 1
Mn1 0.0000 0.0000 0.2316 1
Re1 0.0000 0.0000 0.5000 1
# N(E_F) = 1.164 states/eV per atom

2.
# BaMn2Re | the Alexandria database | GGA-PBE | optimized geometry
data_BaMn2Re
_cell_length_a 4.1203
_cell_length_b 5.8320
_cell_length_c 7.7210
_cell_angle_alpha 90.00
_cell_angle_beta 90.00
_cell_angle_gamma 90.00
_symmetry_space_group_name_H-M 'I m m m'
_symmetry_Int_Tables_number 71
_symmetry_space_group_name_Hall '-I 2 2'
loop_
_atom_site_label
_atom_site_fract_x
_atom_site_fract_y
_atom_site_fract_z
_atom_site_occupancy
Ba1 0.0000 0.0000 0.0000 1
Mn1 0.0000 0.5000 0.1751 1
Re1 0.0000 0.0000 0.5000 1
# N(E_F) = 1.118 states/eV per atom

3.
# BaMn2Re | the Alexandria database | GGA-PBE | optimized geometry
data_BaMn2Re
_cell_length_a 4.2361
_cell_length_b 4.2361
_cell_length_c 17.9992
_cell_angle_alpha 90.00
_cell_angle_beta 90.00
_cell_angle_gamma 120.00
_symmetry_space_group_name_H-M 'R -3 m'
_symmetry_Int_Tables_number 166
_symmetry_space_group_name_Hall '-R 3 2"'
loop_
_atom_site_label
_atom_site_fract_x
_atom_site_fract_y
_atom_site_fract_z
_atom_site_occupancy
Ba1 0.0000 0.0000 0.0000 1
Mn1 0.0000 0.0000 0.1916 1
Re1 0.0000 0.0000 0.5000 1
# N(E_F) = 1.122 states/eV per atom

4.
# BaMn2Re | the Alexandria database | GGA-PBE | optimized geometry
data_BaMn2Re
_cell_length_a 6.0747
_cell_length_b 8.1176
_cell_length_c 3.1042
_cell_angle_alpha 90.00
_cell_angle_beta 90.00
_cell_angle_gamma 90.00
_symmetry_space_group_name_H-M 'C m m m'
_symmetry_Int_Tables_number 65
_symmetry_space_group_name_Hall '-C 2 2'
loop_
_atom_site_label
_atom_site_fract_x
_atom_site_fract_y
_atom_site_fract_z
_atom_site_occupancy
Ba1 0.0000 0.0000 0.0000 1
Mn1 0.2500 0.2500 0.5000 1
Re1 0.0000 0.5000 0.0000 1
# N(E_F) = 0.822 states/eV per atom

Energies, relative to the best one, in meV per atom: 1 478; 2 551; 3 0; 4 697.

1.
# BaMnRe | the Alexandria database | GGA-PBE | optimized geometry
data_BaMnRe
_cell_length_a 3.9685
_cell_length_b 3.9685
_cell_length_c 5.4246
_cell_angle_alpha 90.00
_cell_angle_beta 90.00
_cell_angle_gamma 120.00
_symmetry_space_group_name_H-M 'P 3 m 1'
_symmetry_Int_Tables_number 156
_symmetry_space_group_name_Hall 'P 3 -2"'
loop_
_atom_site_label
_atom_site_fract_x
_atom_site_fract_y
_atom_site_fract_z
_atom_site_occupancy
Ba1 0.0000 0.0000 0.0000 1
Mn1 0.6667 0.3333 0.5244 1
Re1 0.3333 0.6667 0.4823 1
# N(E_F) = 1.157 states/eV per atom

2.
# BaMnRe | the Alexandria database | GGA-PBE | optimized geometry
data_BaMnRe
_cell_length_a 6.7324
_cell_length_b 6.7324
_cell_length_c 6.7324
_cell_angle_alpha 90.00
_cell_angle_beta 90.00
_cell_angle_gamma 90.00
_symmetry_space_group_name_H-M 'F -4 3 m'
_symmetry_Int_Tables_number 216
_symmetry_space_group_name_Hall 'F -4 2 3'
loop_
_atom_site_label
_atom_site_fract_x
_atom_site_fract_y
_atom_site_fract_z
_atom_site_occupancy
Ba1 0.0000 0.0000 0.0000 1
Mn1 0.0000 0.0000 0.5000 1
Re1 0.2500 0.2500 0.7500 1
# N(E_F) = 1.604 states/eV per atom

3.
# BaMnRe | the Alexandria database | GGA-PBE | optimized geometry
data_BaMnRe
_cell_length_a 7.2679
_cell_length_b 7.2679
_cell_length_c 7.2679
_cell_angle_alpha 90.00
_cell_angle_beta 90.00
_cell_angle_gamma 90.00
_symmetry_space_group_name_H-M 'F -4 3 m'
_symmetry_Int_Tables_number 216
_symmetry_space_group_name_Hall 'F -4 2 3'
loop_
_atom_site_label
_atom_site_fract_x
_atom_site_fract_y
_atom_site_fract_z
_atom_site_occupancy
Ba1 0.0000 0.0000 0.0000 1
Mn1 0.2500 0.2500 0.2500 1
Re1 0.2500 0.2500 0.7500 1
# N(E_F) = 0.607 states/eV per atom

Energies, relative to the best one, in meV per atom: 1 0; 2 733; 3 1602.